[1]
A plane-wave DFT calculation with PBE was carried out for FeAgCl2 after structural relaxation.

a = 3.2476 Å, b = 3.2476 Å, c = 7.8924 Å
α = 90.00°, β = 90.00°, γ = 100.87°
With the nearest neighbours (Å) after each atom.
Fractional coordinates of all 4 atoms:
Fe (0.0000, 0.0000, 0.0000)  2 Cl 2.43
Ag (0.5000, 0.5000, 0.2323)  2 Cl 2.57, 2 Fe 2.76
Cl (0.0000, 0.0000, 0.4259)  2 Ag 2.57
Cl (0.5000, 0.5000, 0.8381)  2 Fe 2.43

Output
Relative energy among the computed polymorphs, eV per atom: 0.157
Energy, eV/atom: -3.814

[2]
A plane-wave DFT calculation with PBE was carried out for FeAg2Cl after structural relaxation.

a = 5.9845 Å, b = 5.9845 Å, c = 5.9845 Å
α = 102.44°, β = 102.44°, γ = 124.69°
With the nearest neighbours (Å) after each atom.
Fractional coordinates of all 8 atoms:
Fe (0.0000, 0.0000, 0.0000)  4 Ag 2.70, 2 Cl 2.78
Fe (0.7500, 0.2500, 0.5000)  4 Ag 2.70, 2 Cl 2.78
Ag (0.1175, 0.6250, 0.9925)  2 Fe 2.70, 2 Cl 2.78, 2 Ag 2.78
Ag (0.3750, 0.3675, 0.4925)  2 Fe 2.70, 2 Cl 2.78, 2 Ag 2.78
Ag (0.6325, 0.1250, 0.0075)  2 Fe 2.70, 2 Cl 2.78, 2 Ag 2.78
Ag (0.8750, 0.8825, 0.5075)  2 Fe 2.70, 2 Cl 2.78, 2 Ag 2.78
Cl (0.2500, 0.7500, 0.5000)  2 Fe 2.78, 4 Ag 2.78
Cl (0.5000, 0.5000, 0.0000)  2 Fe 2.78, 4 Ag 2.78

Output
Relative energy among the computed polymorphs, eV per atom: 0.447
Energy, eV/atom: -3.487

[3]
A plane-wave DFT calculation with PBE was carried out for FeAgCl2 after structural relaxation.

a = 3.4185 Å, b = 3.4185 Å, c = 9.6217 Å
α = 90.00°, β = 90.00°, γ = 123.90°
With the nearest neighbours (Å) after each atom.
Fractional coordinates of all 4 atoms:
Fe (0.0000, 0.0000, 0.0000)  4 Cl 2.34
Ag (0.0000, 0.0000, 0.5000)  6 Ag 3.22-3.42, 4 Cl 3.50
Cl (0.5000, 0.5000, 0.1771)  2 Fe 2.34
Cl (0.5000, 0.5000, 0.8229)  2 Fe 2.34

Output
Relative energy among the computed polymorphs, eV per atom: 0.114
Energy, eV/atom: -3.857

[4]
A plane-wave DFT calculation with PBE was carried out for FeAg2Cl after structural relaxation.

a = 3.0967 Å, b = 4.6027 Å, c = 5.0402 Å
α = 90.00°, β = 90.00°, γ = 90.00°
With the nearest neighbours (Å) after each atom.
Fractional coordinates of all 4 atoms:
Fe (0.0000, 0.0000, 0.0000)  4 Cl 2.77, 4 Ag 2.96, 2 Fe 3.10
Ag (0.0000, 0.5000, 0.5000)  6 Ag 2.77-3.10, 4 Cl 2.96
Ag (0.5000, 0.0000, 0.5000)  6 Ag 2.77-3.10, 4 Fe 2.96
Cl (0.5000, 0.5000, 0.0000)  4 Fe 2.77, 4 Ag 2.96, 2 Cl 3.10

Output
Relative energy among the computed polymorphs, eV per atom: 0.341
Energy, eV/atom: -3.593

[5]
A plane-wave DFT calculation with PBE was carried out for FeAgCl3 after structural relaxation.

a = 4.8398 Å, b = 4.8398 Å, c = 4.8398 Å
α = 90.00°, β = 90.00°, γ = 90.00°
With the nearest neighbours (Å) after each atom.
Fractional coordinates of all 5 atoms:
Fe (0.0000, 0.0000, 0.0000)  6 Cl 2.42
Ag (0.5000, 0.5000, 0.5000)  12 Cl 3.42
Cl (0.0000, 0.0000, 0.5000)  2 Fe 2.42
Cl (0.0000, 0.5000, 0.0000)  2 Fe 2.42
Cl (0.5000, 0.0000, 0.0000)  2 Fe 2.42

Output
Relative energy among the computed polymorphs, eV per atom: 0.234
Energy, eV/atom: -3.710

[6]
A plane-wave DFT calculation with PBE was carried out for FeAgCl2 after structural relaxation.

a = 4.6807 Å, b = 4.6807 Å, c = 4.6807 Å
α = 60.00°, β = 60.00°, γ = 60.00°
With the nearest neighbours (Å) after each atom.
Fractional coordinates of all 4 atoms:
Fe (0.0000, 0.0000, 0.0000)  8 Cl 2.87
Ag (0.5000, 0.5000, 0.5000)  8 Cl 2.87
Cl (0.2500, 0.2500, 0.2500)  4 Fe 2.87, 4 Ag 2.87
Cl (0.7500, 0.7500, 0.7500)  4 Ag 2.87, 4 Fe 2.87

Output
Relative energy among the computed polymorphs, eV per atom: 0.330
Energy, eV/atom: -3.641

[7]
A plane-wave DFT calculation with PBE was carried out for FeAgCl2 after structural relaxation.

a = 4.7698 Å, b = 4.7698 Å, c = 4.7698 Å
α = 60.00°, β = 60.00°, γ = 60.00°
With the nearest neighbours (Å) after each atom.
Fractional coordinates of all 4 atoms:
Fe (0.0000, 0.0000, 0.0000)  4 Cl 2.92, 4 Ag 2.92
Ag (0.2500, 0.2500, 0.2500)  4 Cl 2.92, 4 Fe 2.92
Cl (0.5000, 0.5000, 0.5000)  4 Cl 2.92, 4 Ag 2.92
Cl (0.7500, 0.7500, 0.7500)  4 Cl 2.92, 4 Fe 2.92

Output
Relative energy among the computed polymorphs, eV per atom: 0.670
Energy, eV/atom: -3.301

[8]
A plane-wave DFT calculation with PBE was carried out for FeAgCl5 after structural relaxation.

a = 7.2185 Å, b = 7.2197 Å, c = 9.1236 Å
α = 108.22°, β = 108.22°, γ = 97.43°
With the nearest neighbours (Å) after each atom.
Fractional coordinates of all 14 atoms:
Fe (0.1111, 0.3887, 0.2499)  4 Cl 2.17-2.22
Fe (0.8889, 0.6113, 0.7501)  4 Cl 2.17-2.22
Ag (0.5000, 0.0000, 0.0000)  4 Cl 2.46-2.54
Ag (0.5000, 0.0000, 0.5000)  4 Cl 2.46-2.54
Cl (0.1750, 0.7229, 0.3431)  1 Fe 2.22
Cl (0.2123, 0.2660, 0.0476)  1 Fe 2.17
Cl (0.2232, 0.6751, 0.8422)  1 Fe 2.22
Cl (0.2343, 0.2868, 0.4516)  1 Fe 2.17
Cl (0.4154, 0.0858, 0.7503)  2 Ag 2.46
Cl (0.5846, 0.9142, 0.2497)  2 Ag 2.46
Cl (0.7657, 0.7132, 0.5484)  1 Fe 2.17
Cl (0.7768, 0.3249, 0.1578)  1 Fe 2.22
Cl (0.7877, 0.7340, 0.9524)  1 Fe 2.17
Cl (0.8250, 0.2771, 0.6569)  1 Fe 2.22

Output
Energy, eV/atom: -3.498

| no. | total moment (Bohr magnetons per cell) |
| --- | --- |
| 1 | 3.4 |
| 2 | 7.1 |
| 3 | 3.8 |
| 4 | 3.3 |
| 5 | 4.0 |
| 6 | 3.1 |
| 7 | 3.3 |
| 8 | 8.7 |